1.
Material: CaSnPb
Method: DFT, PBE
State: relaxed

The density of states at the Fermi level is 0.9396 states/eV per atom. For the relative energy among the computed polymorphs, the calculation gives 116 meV per atom. The calculation puts the formation energy at -23.7 kJ/mol of atoms. The value obtained for the total energy is -3.48 eV per atom. As for the total moment: 0.00 μB per cell. The theoretical density comes out at 5.68 Mg/m³.

It has space group F-43m (No. 216), with a = 7.5377 Å, b = 7.5377 Å, c = 7.5377 Å, α = 90.00°, β = 90.00° and γ = 90.00°. The asymmetric unit holds Ca at (0.0000, 0.0000, 0.0000), Sn at (0.2500, 0.2500, 0.2500) and Pb at (0.0000, 0.0000, 0.5000).

***

2.
Material: SrZr2Cd
Method: DFT, PBE
State: relaxed

The density of states at the Fermi level is 1.1990 states/eV per atom. The calculation puts the formation energy at 49.7 kJ/mol of atoms. The value obtained for the total energy is -4.41 eV per atom. As for the total moment: 0.00 μB per cell. The theoretical density comes out at 5.72 Mg/m³.

It has space group I-42d (No. 122), with a = 4.3801 Å, b = 4.3801 Å, c = 23.1585 Å, α = 90.00°, β = 90.00° and γ = 90.00°. The asymmetric unit holds Sr at (0.0000, 0.0000, 0.0000), Zr at (0.2268, 0.2500, 0.6250) and Cd at (0.0000, 0.0000, 0.5000).

***

3.
Material: RbYAl2
Method: DFT, PBE
State: relaxed

The density of states at the Fermi level is 0.7061 states/eV per atom. For the relative energy among the computed polymorphs, the calculation gives 275 meV per atom. The calculation puts the formation energy at 60.9 kJ/mol of atoms. The value obtained for the total energy is -3.10 eV per atom. As for the total moment: 0.00 μB per cell. The theoretical density comes out at 2.87 Mg/m³.

It has space group I-42d (No. 122), with a = 8.7827 Å, b = 8.7827 Å, c = 6.8606 Å, α = 90.00°, β = 90.00° and γ = 90.00°. The asymmetric unit holds Rb at (0.0000, 0.0000, 0.0000), Y at (0.0000, 0.0000, 0.5000) and Al at (0.2096, 0.2500, 0.6250).

***

4.
Material: CaPbW
Method: DFT, PBE
State: relaxed

The density of states at the Fermi level is 0.9027 states/eV per atom. For the relative energy among the computed polymorphs, the calculation gives 440 meV per atom. The calculation puts the formation energy at 107.8 kJ/mol of atoms. The value obtained for the total energy is -5.10 eV per atom. As for the total moment: 6.49 μB per cell. The theoretical density comes out at 8.82 Mg/m³.

It has space group F-43m (No. 216), with a = 6.8742 Å, b = 6.8742 Å, c = 6.8742 Å, α = 90.00°, β = 90.00° and γ = 90.00°. The asymmetric unit holds Ca at (0.0000, 0.0000, 0.0000), Pb at (0.2500, 0.2500, 0.7500) and W at (0.0000, 0.0000, 0.5000).

***

Q: Among the records above, which one has the highest total moment?
A: CaPbW